No. 1
First-principles (PBE) data for a geometry-optimized Nd8NiIr3Cl4 structure, as listed in Alexandria via LeMat-Bulk.

Properties
Crystal system ... monoclinic
Magnetic moment ... 0.00 μB per formula unit
E_form (uncorrected) ... -1.125 eV per atom

Lattice parameters (Å, degrees): 8.227 8.227 8.903 117.56 117.56 60.01
Sites, in units of the cell vectors:
Nd (0.233, 0.233, 0.703)
Nd (0.233, 0.737, 0.703)
Nd (0.263, 0.767, 0.297)
Nd (0.265, 0.265, 0.294)
Nd (0.735, 0.735, 0.706)
Nd (0.737, 0.233, 0.703)
Nd (0.767, 0.263, 0.297)
Nd (0.767, 0.767, 0.297)
Ni (0.000, 0.000, 0.500)
Ir (0.000, 0.500, 0.500)
Ir (0.500, 0.000, 0.500)
Ir (0.500, 0.500, 0.500)
Cl (0.000, 0.000, 0.000)
Cl (0.000, 0.500, 0.000)
Cl (0.500, 0.000, 0.000)
Cl (0.500, 0.500, 0.000)

No. 2
First-principles (PBE) data for a geometry-optimized Nd4NiIrCl2 structure, as listed in Alexandria via LeMat-Bulk.

Properties
Crystal system ... monoclinic
Magnetic moment ... 0.00 μB per formula unit
E_form (uncorrected) ... -1.055 eV per atom

Lattice parameters (Å, degrees): 7.076 4.096 7.886 90.00 107.54 90.00
Sites, in units of the cell vectors:
Nd (0.232, 0.000, 0.201)
Nd (0.262, 0.500, 0.796)
Nd (0.738, 0.500, 0.204)
Nd (0.768, 0.000, 0.799)
Ni (0.000, 0.500, 0.000)
Ir (0.500, 0.000, 0.000)
Cl (0.000, 0.000, 0.500)
Cl (0.500, 0.500, 0.500)

No. 3
First-principles (PBE) data for a geometry-optimized Nd8Ir3OsCl4 structure, as listed in Alexandria via LeMat-Bulk.

Properties
Crystal system ... trigonal
Magnetic moment ... 0.00 μB per formula unit
E_form (uncorrected) ... -1.083 eV per atom

Lattice parameters (Å, degrees): 8.942 8.942 8.942 54.87 54.87 54.87
Sites, in units of the cell vectors:
Nd (0.234, 0.234, 0.234)
Nd (0.239, 0.733, 0.733)
Nd (0.267, 0.267, 0.761)
Nd (0.267, 0.761, 0.267)
Nd (0.733, 0.239, 0.733)
Nd (0.733, 0.733, 0.239)
Nd (0.761, 0.267, 0.267)
Nd (0.766, 0.766, 0.766)
Ir (0.000, 0.000, 0.500)
Ir (0.000, 0.500, 0.000)
Ir (0.500, 0.000, 0.000)
Os (0.500, 0.500, 0.500)
Cl (0.000, 0.000, 0.000)
Cl (0.000, 0.500, 0.500)
Cl (0.500, 0.000, 0.500)
Cl (0.500, 0.500, 0.000)

No. 4
First-principles (PBE) data for a geometry-optimized Nd4PIrCl2 structure, as listed in Alexandria via LeMat-Bulk.

Properties
Crystal system ... monoclinic
Magnetic moment ... 0.00 μB per formula unit
E_form (uncorrected) ... -1.344 eV per atom

Lattice parameters (Å, degrees): 7.465 4.068 7.475 90.00 107.73 90.00
Sites, in units of the cell vectors:
Nd (0.226, 0.000, 0.209)
Nd (0.260, 0.500, 0.785)
Nd (0.740, 0.500, 0.215)
Nd (0.774, 0.000, 0.791)
P (0.500, 0.000, 0.000)
Ir (0.000, 0.500, 0.000)
Cl (0.000, 0.000, 0.500)
Cl (0.500, 0.500, 0.500)

No. 5
First-principles (PBE) data for a geometry-optimized Nd3IrPbCl structure, as listed in Alexandria via LeMat-Bulk.

Properties
Crystal system ... monoclinic
Magnetic moment ... 0.00 μB per formula unit
E_form (uncorrected) ... -0.819 eV per atom

Lattice parameters (Å, degrees): 7.654 4.694 9.822 90.00 104.02 90.00
Sites, in units of the cell vectors:
Nd (0.049, 0.250, 0.367)
Nd (0.213, 0.250, 0.956)
Nd (0.427, 0.750, 0.627)
Nd (0.573, 0.250, 0.373)
Nd (0.787, 0.750, 0.044)
Nd (0.951, 0.750, 0.633)
Ir (0.197, 0.250, 0.651)
Ir (0.803, 0.750, 0.349)
Pb (0.237, 0.750, 0.220)
Pb (0.763, 0.250, 0.780)
Cl (0.398, 0.750, 0.907)
Cl (0.602, 0.250, 0.093)

No. 6
First-principles (PBE) data for a geometry-optimized PmNdIrCl structure, as listed in Alexandria via LeMat-Bulk.

Properties
Crystal system ... monoclinic
Magnetic moment ... 0.00 μB per formula unit
E_form (uncorrected) ... -1.163 eV per atom

Lattice parameters (Å, degrees): 7.124 4.114 8.025 90.00 107.15 90.00
Sites, in units of the cell vectors:
Pm (0.000, 0.000, 0.000)
Pm (0.500, 0.500, 0.000)
Nd (0.299, 0.500, 0.398)
Nd (0.799, 0.000, 0.398)
Ir (0.399, 0.000, 0.198)
Ir (0.899, 0.500, 0.198)
Cl (0.072, 0.500, 0.714)
Cl (0.572, 0.000, 0.714)

No. 7
First-principles (PBE) data for a geometry-optimized PrNdIrCl structure, as listed in Alexandria via LeMat-Bulk.

Properties
Crystal system ... trigonal
Magnetic moment ... 0.00 μB per formula unit
E_form (uncorrected) ... -1.153 eV per atom

Lattice parameters (Å, degrees): 4.139 4.139 23.160 90.00 90.00 120.00
Sites, in units of the cell vectors:
Pr (0.000, 0.000, 0.000)
Pr (0.333, 0.667, 0.667)
Pr (0.667, 0.333, 0.333)
Nd (0.000, 0.000, 0.200)
Nd (0.333, 0.667, 0.867)
Nd (0.667, 0.333, 0.534)
Ir (0.000, 0.000, 0.600)
Ir (0.333, 0.667, 0.266)
Ir (0.667, 0.333, 0.933)
Cl (0.000, 0.000, 0.771)
Cl (0.333, 0.667, 0.438)
Cl (0.667, 0.333, 0.105)

No. 8
First-principles (PBE) data for a geometry-optimized Nd6IrPt2Cl3 structure, as listed in Alexandria via LeMat-Bulk.

Properties
Crystal system ... monoclinic
Magnetic moment ... 0.00 μB per formula unit
E_form (uncorrected) ... -1.296 eV per atom

Lattice parameters (Å, degrees): 9.850 9.850 8.901 107.84 107.84 24.52
Sites, in units of the cell vectors:
Nd (0.009, 0.009, 0.222)
Nd (0.325, 0.325, 0.439)
Nd (0.347, 0.347, 0.896)
Nd (0.653, 0.653, 0.104)
Nd (0.675, 0.675, 0.561)
Nd (0.991, 0.991, 0.778)
Ir (0.500, 0.500, 0.000)
Pt (0.168, 0.168, 0.335)
Pt (0.832, 0.832, 0.665)
Cl (0.165, 0.165, 0.829)
Cl (0.500, 0.500, 0.500)
Cl (0.835, 0.835, 0.171)

No. 9
First-principles (PBE) data for a geometry-optimized Nd6Ir2PtCl3 structure, as listed in Alexandria via LeMat-Bulk.

Properties
Crystal system ... monoclinic
Magnetic moment ... 0.00 μB per formula unit
E_form (uncorrected) ... -1.252 eV per atom

Lattice parameters (Å, degrees): 7.206 7.206 7.894 98.73 98.73 120.01
Sites, in units of the cell vectors:
Nd (0.091, 0.432, 0.796)
Nd (0.227, 0.227, 0.204)
Nd (0.432, 0.091, 0.796)
Nd (0.568, 0.909, 0.204)
Nd (0.773, 0.773, 0.796)
Nd (0.909, 0.568, 0.204)
Ir (0.167, 0.833, 0.000)
Ir (0.833, 0.167, 0.000)
Pt (0.500, 0.500, 0.000)
Cl (0.000, 0.000, 0.500)
Cl (0.329, 0.671, 0.500)
Cl (0.671, 0.329, 0.500)

No. 10
First-principles (PBE) data for a geometry-optimized Nd4IrPtCl2 structure, as listed in Alexandria via LeMat-Bulk.

Properties
Crystal system ... monoclinic
Magnetic moment ... 0.00 μB per formula unit
E_form (uncorrected) ... -1.273 eV per atom

Lattice parameters (Å, degrees): 7.247 4.169 7.894 90.00 108.20 90.00
Sites, in units of the cell vectors:
Nd (0.231, 0.000, 0.204)
Nd (0.256, 0.500, 0.795)
Nd (0.744, 0.500, 0.205)
Nd (0.769, 0.000, 0.796)
Ir (0.000, 0.500, 0.000)
Pt (0.500, 0.000, 0.000)
Cl (0.000, 0.000, 0.500)
Cl (0.500, 0.500, 0.500)

No. 11
First-principles (PBE) data for a geometry-optimized Nd8IrPt3Cl4 structure, as listed in Alexandria via LeMat-Bulk.

Properties
Crystal system ... trigonal
Magnetic moment ... 0.00 μB per formula unit
E_form (uncorrected) ... -1.310 eV per atom

Lattice parameters (Å, degrees): 8.905 8.905 8.905 56.07 56.07 56.07
Sites, in units of the cell vectors:
Nd (0.236, 0.236, 0.236)
Nd (0.242, 0.733, 0.733)
Nd (0.267, 0.267, 0.758)
Nd (0.267, 0.758, 0.267)
Nd (0.733, 0.242, 0.733)
Nd (0.733, 0.733, 0.242)
Nd (0.758, 0.267, 0.267)
Nd (0.764, 0.764, 0.764)
Ir (0.500, 0.500, 0.500)
Pt (0.000, 0.000, 0.500)
Pt (0.000, 0.500, 0.000)
Pt (0.500, 0.000, 0.000)
Cl (0.000, 0.000, 0.000)
Cl (0.000, 0.500, 0.500)
Cl (0.500, 0.000, 0.500)
Cl (0.500, 0.500, 0.000)

No. 12
First-principles (PBE) data for a geometry-optimized NdPuIrCl structure, as listed in Alexandria via LeMat-Bulk.

Properties
Crystal system ... trigonal
Magnetic moment ... 5.18 μB per formula unit
E_form (uncorrected) ... -0.966 eV per atom

Lattice parameters (Å, degrees): 4.017 4.017 23.115 90.00 90.00 120.00
Sites, in units of the cell vectors:
Nd (0.000, 0.000, 0.000)
Nd (0.333, 0.667, 0.667)
Nd (0.667, 0.333, 0.333)
Pu (0.000, 0.000, 0.197)
Pu (0.333, 0.667, 0.864)
Pu (0.667, 0.333, 0.531)
Ir (0.000, 0.000, 0.593)
Ir (0.333, 0.667, 0.260)
Ir (0.667, 0.333, 0.927)
Cl (0.000, 0.000, 0.763)
Cl (0.333, 0.667, 0.429)
Cl (0.667, 0.333, 0.096)

No. 13
First-principles (PBE) data for a geometry-optimized Nd4IrRhCl2 structure, as listed in Alexandria via LeMat-Bulk.

Properties
Crystal system ... monoclinic
Magnetic moment ... 0.00 μB per formula unit
E_form (uncorrected) ... -1.184 eV per atom

Lattice parameters (Å, degrees): 7.110 4.114 7.926 90.00 107.20 90.00
Sites, in units of the cell vectors:
Nd (0.232, 0.000, 0.204)
Nd (0.266, 0.500, 0.796)
Nd (0.734, 0.500, 0.204)
Nd (0.768, 0.000, 0.796)
Ir (0.000, 0.500, 0.000)
Rh (0.500, 0.000, 0.000)
Cl (0.000, 0.000, 0.500)
Cl (0.500, 0.500, 0.500)

No. 14
First-principles (PBE) data for a geometry-optimized Nd6IrRh2Cl3 structure, as listed in Alexandria via LeMat-Bulk.

Properties
Crystal system ... monoclinic
Magnetic moment ... 0.00 μB per formula unit
E_form (uncorrected) ... -1.181 eV per atom

Lattice parameters (Å, degrees): 7.105 7.105 7.936 98.58 98.58 120.01
Sites, in units of the cell vectors:
Nd (0.068, 0.401, 0.205)
Nd (0.264, 0.264, 0.795)
Nd (0.401, 0.068, 0.205)
Nd (0.599, 0.932, 0.795)
Nd (0.736, 0.736, 0.205)
Nd (0.932, 0.599, 0.795)
Ir (0.000, 0.000, 0.000)
Rh (0.333, 0.667, 0.000)
Rh (0.667, 0.333, 0.000)
Cl (0.167, 0.833, 0.500)
Cl (0.500, 0.500, 0.500)
Cl (0.833, 0.167, 0.500)

No. 15
First-principles (PBE) data for a geometry-optimized Nd6IrRu2Cl3 structure, as listed in Alexandria via LeMat-Bulk.

Properties
Crystal system ... monoclinic
Magnetic moment ... 0.00 μB per formula unit
E_form (uncorrected) ... -0.971 eV per atom

Lattice parameters (Å, degrees): 7.056 7.056 7.969 98.47 98.47 120.05
Sites, in units of the cell vectors:
Nd (0.094, 0.432, 0.794)
Nd (0.231, 0.231, 0.206)
Nd (0.432, 0.094, 0.794)
Nd (0.568, 0.906, 0.206)
Nd (0.769, 0.769, 0.794)
Nd (0.906, 0.568, 0.206)
Ir (0.500, 0.500, 0.000)
Ru (0.166, 0.834, 0.000)
Ru (0.834, 0.166, 0.000)
Cl (0.000, 0.000, 0.500)
Cl (0.330, 0.670, 0.500)
Cl (0.670, 0.330, 0.500)

No. 16
First-principles (PBE) data for a geometry-optimized Nd6Ir2RuCl3 structure, as listed in Alexandria via LeMat-Bulk.

Properties
Crystal system ... monoclinic
Magnetic moment ... 0.00 μB per formula unit
E_form (uncorrected) ... -1.085 eV per atom

Lattice parameters (Å, degrees): 9.846 9.846 8.944 109.78 109.78 24.00
Sites, in units of the cell vectors:
Nd (0.008, 0.008, 0.223)
Nd (0.323, 0.323, 0.444)
Nd (0.346, 0.346, 0.898)
Nd (0.654, 0.654, 0.102)
Nd (0.677, 0.677, 0.556)
Nd (0.992, 0.992, 0.777)
Ir (0.166, 0.166, 0.330)
Ir (0.834, 0.834, 0.670)
Ru (0.500, 0.500, 0.000)
Cl (0.165, 0.165, 0.830)
Cl (0.500, 0.500, 0.500)
Cl (0.835, 0.835, 0.170)

No. 17
First-principles (PBE) data for a geometry-optimized Nd8Ir3SCl4 structure, as listed in Alexandria via LeMat-Bulk.

Properties
Crystal system ... trigonal
Magnetic moment ... 0.00 μB per formula unit
E_form (uncorrected) ... -1.296 eV per atom

Lattice parameters (Å, degrees): 8.809 8.809 8.809 56.51 56.51 56.51
Sites, in units of the cell vectors:
Nd (0.223, 0.742, 0.742)
Nd (0.235, 0.235, 0.235)
Nd (0.258, 0.258, 0.777)
Nd (0.258, 0.777, 0.258)
Nd (0.742, 0.223, 0.742)
Nd (0.742, 0.742, 0.223)
Nd (0.765, 0.765, 0.765)
Nd (0.777, 0.258, 0.258)
Ir (0.000, 0.000, 0.500)
Ir (0.000, 0.500, 0.000)
Ir (0.500, 0.000, 0.000)
S (0.500, 0.500, 0.500)
Cl (0.000, 0.000, 0.000)
Cl (0.000, 0.500, 0.500)
Cl (0.500, 0.000, 0.500)
Cl (0.500, 0.500, 0.000)

No. 18
First-principles (PBE) data for a geometry-optimized Nd8Ir3SeCl4 structure, as listed in Alexandria via LeMat-Bulk.

Properties
Crystal system ... trigonal
Magnetic moment ... 0.00 μB per formula unit
E_form (uncorrected) ... -1.274 eV per atom

Lattice parameters (Å, degrees): 8.812 8.812 8.812 57.07 57.07 57.07
Sites, in units of the cell vectors:
Nd (0.218, 0.747, 0.747)
Nd (0.234, 0.234, 0.234)
Nd (0.253, 0.253, 0.782)
Nd (0.253, 0.782, 0.253)
Nd (0.747, 0.218, 0.747)
Nd (0.747, 0.747, 0.218)
Nd (0.766, 0.766, 0.766)
Nd (0.782, 0.253, 0.253)
Ir (0.000, 0.000, 0.500)
Ir (0.000, 0.500, 0.000)
Ir (0.500, 0.000, 0.000)
Se (0.500, 0.500, 0.500)
Cl (0.000, 0.000, 0.000)
Cl (0.000, 0.500, 0.500)
Cl (0.500, 0.000, 0.500)
Cl (0.500, 0.500, 0.000)

No. 19
First-principles (PBE) data for a geometry-optimized Nd8SiIr3Cl4 structure, as listed in Alexandria via LeMat-Bulk.

Properties
Crystal system ... trigonal
Magnetic moment ... 0.00 μB per formula unit
E_form (uncorrected) ... -1.141 eV per atom

Lattice parameters (Å, degrees): 8.845 8.845 8.845 56.49 56.49 56.49
Sites, in units of the cell vectors:
Nd (0.225, 0.741, 0.741)
Nd (0.236, 0.236, 0.236)
Nd (0.259, 0.259, 0.775)
Nd (0.259, 0.775, 0.259)
Nd (0.741, 0.225, 0.741)
Nd (0.741, 0.741, 0.225)
Nd (0.764, 0.764, 0.764)
Nd (0.775, 0.259, 0.259)
Si (0.500, 0.500, 0.500)
Ir (0.000, 0.000, 0.500)
Ir (0.000, 0.500, 0.000)
Ir (0.500, 0.000, 0.000)
Cl (0.000, 0.000, 0.000)
Cl (0.000, 0.500, 0.500)
Cl (0.500, 0.000, 0.500)
Cl (0.500, 0.500, 0.000)

No. 20
First-principles (PBE) data for a geometry-optimized Nd8Si3IrCl4 structure, as listed in Alexandria via LeMat-Bulk.

Properties
Crystal system ... trigonal
Magnetic moment ... 0.00 μB per formula unit
E_form (uncorrected) ... -1.150 eV per atom

Lattice parameters (Å, degrees): 8.544 8.544 8.544 59.54 59.54 59.54
Sites, in units of the cell vectors:
Nd (0.243, 0.243, 0.243)
Nd (0.247, 0.736, 0.736)
Nd (0.264, 0.264, 0.753)
Nd (0.264, 0.753, 0.264)
Nd (0.736, 0.247, 0.736)
Nd (0.736, 0.736, 0.247)
Nd (0.753, 0.264, 0.264)
Nd (0.757, 0.757, 0.757)
Si (0.000, 0.000, 0.500)
Si (0.000, 0.500, 0.000)
Si (0.500, 0.000, 0.000)
Ir (0.500, 0.500, 0.500)
Cl (0.000, 0.000, 0.000)
Cl (0.000, 0.500, 0.500)
Cl (0.500, 0.000, 0.500)
Cl (0.500, 0.500, 0.000)